# 1
This record from Alexandria describes crystalline Ca4MgZn2 at its relaxed geometry. The functional is PBE.

Computed properties:
For the energy above the lowest structure with this stoichiometry, the calculation gives 147 meV per atom. As for the total energy: -23.8 eV per cell. The formation energy from the elements comes out at 35 meV/atom.

abc: 7.9403 7.9403 6.5187
angles: 90.00 90.00 90.00
Space group I4/mmm (No. 139)
Symmetry-distinct sites (fractional):
Ca1 0.2175 0.2175 0.0000
Mg1 0.0000 0.0000 0.5000
Zn1 0.0000 0.5000 0.2500


# 2
This record from Alexandria describes crystalline CaMgZn at its relaxed geometry. The functional is PBE.

Computed properties:
As for the total energy: -20.1 eV per cell. The formation energy from the elements comes out at -49 meV/atom.

abc: 4.2963 4.2963 19.0996
angles: 90.00 90.00 90.00
Space group I4/mmm (No. 139)
Symmetry-distinct sites (fractional):
Ca1 0.0000 0.0000 0.1050
Mg1 0.0000 0.5000 0.2500
Zn1 0.0000 0.0000 0.3471


# 3
This record from Alexandria describes crystalline Ca2MgZn at its relaxed geometry. The functional is PBE.

Computed properties:
For the energy above the lowest structure with this stoichiometry, the calculation gives 268 meV per atom. As for the total energy: -12.9 eV per cell. The formation energy from the elements comes out at 105 meV/atom.

abc: 5.1312 5.1312 11.4312
angles: 90.00 90.00 120.00
Space group P6_3/mmc (No. 194)
Symmetry-distinct sites (fractional):
Ca1 0.3333 0.6667 0.0897
Mg1 0.3333 0.6667 0.7500
Zn1 0.0000 0.0000 0.0000


# 4
This record from Alexandria describes crystalline CaMgZn2 at its relaxed geometry. The functional is PBE.

Computed properties:
As for the total energy: -14.0 eV per cell. The formation energy from the elements comes out at -210 meV/atom.

abc: 4.7878 4.7878 8.7253
angles: 90.00 90.00 120.00
Space group P6_3/mmc (No. 194)
Symmetry-distinct sites (fractional):
Ca1 0.3333 0.6667 0.2500
Mg1 0.0000 0.0000 0.0000
Zn1 0.3333 0.6667 0.5936


Which formula does entry 2 have?
CaMgZn


Number 1 is which compound?
Ca4MgZn2